[1]
VASP calculation (PBE-GGA) on a relaxed CoP2N crystal.

Results
VASP energy, eV per atom: -6.723

Cell: 2.684 3.223 5.362 Å, 90.00 90.00 90.00°
Positions (direct):
Co  0.000  0.500  0.405
P  0.000  0.000  0.118
P  0.500  0.000  0.588
N  0.500  0.000  0.914

=====

[2]
VASP calculation (PBE-GGA) on a relaxed CoP2N crystal.

Results
VASP energy, eV per atom: -6.538

Cell: 3.303 2.675 5.822 Å, 90.00 102.54 90.00°
Positions (direct):
Co  0.898  0.500  0.660
P  0.456  0.000  0.806
P  0.449  0.000  0.191
N  0.716  0.500  0.318

=====

[3]
VASP calculation (PBE-GGA) on a relaxed CoP2N crystal.

Results
VASP energy, eV per atom: -6.473

Cell: 3.495 3.952 4.221 Å, 87.15 79.55 70.86°
Positions (direct):
Co  0.146  0.538  0.747
P  0.528  0.876  0.710
P  0.105  0.395  0.244
N  0.519  0.166  0.402

=====

[4]
VASP calculation (PBE-GGA) on a relaxed CoPN2 crystal.

Results
VASP energy, eV per atom: -7.240

Cell: 5.934 5.934 5.934 Å, 26.10 26.10 26.10°
Positions (direct):
P  0.500  0.500  0.500
Co  0.000  0.000  0.000
N  0.889  0.889  0.889
N  0.111  0.111  0.111

=====

[5]
VASP calculation (PBE-GGA) on a relaxed CoPN crystal.

Results
VASP energy, eV per atom: -6.923

Cell: 4.505 5.015 5.359 Å, 90.00 90.00 90.00°
Positions (direct):
P  0.013  0.064  0.182
P  0.513  0.936  0.818
P  0.013  0.564  0.818
P  0.513  0.436  0.182
Co  0.062  0.903  0.533
Co  0.562  0.097  0.467
Co  0.062  0.403  0.467
Co  0.562  0.597  0.533
N  0.154  0.375  0.078
N  0.654  0.625  0.922
N  0.154  0.875  0.922
N  0.654  0.125  0.078

=====

[6]
VASP calculation (PBE-GGA) on a relaxed CoP2N crystal.

Results
VASP energy, eV per atom: -6.743

Cell: 2.648 3.601 5.357 Å, 84.30 90.04 68.40°
Positions (direct):
Co  0.225  0.637  0.620
P  0.951  0.185  0.831
P  0.483  0.121  0.370
N  0.964  0.160  0.153

=====

[7]
VASP calculation (PBE-GGA) on a relaxed CoP2N crystal.

Results
VASP energy, eV per atom: -6.766

Cell: 3.291 3.291 16.734 Å, 90.00 90.00 120.00°
Positions (direct):
Co  0.000  0.000  0.000
Co  0.333  0.667  0.667
Co  0.667  0.333  0.333
P  0.000  0.000  0.405
P  0.000  0.000  0.595
P  0.333  0.667  0.072
P  0.333  0.667  0.261
P  0.667  0.333  0.739
P  0.667  0.333  0.928
N  0.000  0.000  0.500
N  0.333  0.667  0.167
N  0.667  0.333  0.833

=====

[8]
VASP calculation (PBE-GGA) on a relaxed CoP2N crystal.

Results
VASP energy, eV per atom: -6.347

Cell: 3.457 3.542 4.708 Å, 80.02 81.19 61.48°
Positions (direct):
Co  0.431  0.410  0.803
P  0.925  0.851  0.100
P  0.777  0.798  0.577
N  0.921  0.343  0.039

=====

Taking the records one at a time from the top gives uncorrected formation energy values of -0.160 0.024 0.090 0.052 0.024 -0.181 -0.203 0.216 eV per atom.